(1)
First-principles (PBE) data for a relaxed structure of Na2Li2Pr3Pb4, as listed in Alexandria via LeMat-Bulk.

VASP energy in eV/atom: -3.57
DOS(E_F) in states/eV per atom: 0.893

```
Na2Li2Pr3Pb4
1.0
-1.170 -3.298 3.382
0.132 -1.272 -4.696
15.558 -3.966 1.513
Na Li Pr Pb
2 2 3 4
Direct
0.667 0.333 0.439
0.333 0.667 0.561
0.667 0.333 0.867
0.333 0.667 0.133
0.000 0.000 0.752
0.000 0.000 0.000
0.000 0.000 0.248
0.667 0.333 0.118
0.333 0.667 0.882
0.667 0.333 0.652
0.333 0.667 0.348
```

---

(2)
First-principles (PBE) data for a relaxed structure of NaLiPrPb, as listed in Alexandria via LeMat-Bulk.

VASP energy in eV/atom: -3.16
DOS(E_F) in states/eV per atom: 0.609

```
NaLiPrPb
1.0
5.393 0.000 0.000
2.697 4.671 0.000
2.697 1.557 4.403
Pb Pr Li Na
1 1 1 1
Direct
0.250 0.250 0.250
0.500 0.500 0.500
0.750 0.750 0.750
0.000 0.000 0.000
```

---

(3)
First-principles (PBE) data for a relaxed structure of NaLiPtPb2, as listed in Alexandria via LeMat-Bulk.

VASP energy in eV/atom: -3.45
DOS(E_F) in states/eV per atom: 0.540

```
NaLiPtPb2
1.0
-4.802 -1.809 1.626
1.979 -0.813 4.940
-1.311 4.638 1.288
Pb Na Pt Li
2 1 1 1
Direct
0.000 0.500 0.000
0.500 0.000 0.000
0.500 0.500 0.500
0.000 0.000 0.000
0.000 0.000 0.500
```